No. 1
## CsSeS3 (PBE)

Data for a relaxed CsSeS3 crystal.

The total magnetization comes out at 0.000 Bohr magnetons per cell. The crystal system is cubic.

It has space group Pm-3m (No. 221), with a = 5.450 Å, b = 5.450 Å, c = 5.450 Å, α = 90.00°, β = 90.00° and γ = 90.00°. Symmetry generates all atoms from Cs at (0.000, 0.000, 0.000), Se at (0.500, 0.500, 0.500) and S at (0.000, 0.000, 0.500).

=====

No. 2
## RbMoPS2 (PBE)

Data for a relaxed RbMoPS2 crystal.

The total magnetization comes out at 0.000 Bohr magnetons per cell. The crystal system is tetragonal.

It has space group P4/mmm (No. 123), with a = 4.857 Å, b = 4.857 Å, c = 4.757 Å, α = 90.00°, β = 90.00° and γ = 90.00°. Symmetry generates all atoms from Rb at (0.000, 0.000, 0.000), Mo at (0.500, 0.500, 0.500), P at (0.500, 0.500, 0.000) and S at (0.000, 0.500, 0.500).

=====

The evaluated uncorrected energy for the records listed, in turn: -1.686; -5.396 eV/atom.
The evaluated formation energy from raw total energies for the records listed, in turn: 1.658; -0.304 eV per atom.